<one>
# Zr2CrSi PBE relaxed
data_Zr2CrSi
_chemical_formula_sum 'Zr2 Cr1 Si1'
_symmetry_space_group_name_H-M 'P m m m'
_symmetry_Int_Tables_number 47
_symmetry_space_group_name_Hall '-P 2 2'
_cell_length_a 3.3942
_cell_length_b 3.4137
_cell_length_c 6.0073
_cell_angle_alpha 90.00
_cell_angle_beta 90.00
_cell_angle_gamma 90.00
loop_
_atom_site_label
_atom_site_type_symbol
_atom_site_fract_x
_atom_site_fract_y
_atom_site_fract_z
_atom_site_occupancy
Zr1 Zr 0.0000 0.0000 0.2496 1
Cr1 Cr 0.5000 0.5000 0.0000 1
Si1 Si 0.5000 0.5000 0.5000 1
# Fermi-level density of states	2.012	states/eV per cell
# magnetic moment	0.00	Bohr magnetons per cell

=====

<two>
# Zr2CrSi PBE relaxed
data_Zr2CrSi
_chemical_formula_sum 'Zr6 Cr3 Si3'
_symmetry_space_group_name_H-M 'R -3 m'
_symmetry_Int_Tables_number 166
_symmetry_space_group_name_Hall '-R 3 2"'
_cell_length_a 3.2240
_cell_length_b 3.2240
_cell_length_c 24.4582
_cell_angle_alpha 90.00
_cell_angle_beta 90.00
_cell_angle_gamma 120.00
loop_
_atom_site_label
_atom_site_type_symbol
_atom_site_fract_x
_atom_site_fract_y
_atom_site_fract_z
_atom_site_occupancy
Zr1 Zr 0.0000 0.0000 0.2464 1
Cr1 Cr 0.0000 0.0000 0.5000 1
Si1 Si 0.0000 0.0000 0.0000 1
# Fermi-level density of states	9.631	states/eV per cell
# magnetic moment	0.02	Bohr magnetons per cell

=====

<three>
# Zr2CrSi PBE relaxed
data_Zr2CrSi
_chemical_formula_sum 'Zr4 Cr2 Si2'
_symmetry_space_group_name_H-M 'A m m 2'
_symmetry_Int_Tables_number 38
_symmetry_space_group_name_Hall 'A 2 -2'
_cell_length_a 3.9149
_cell_length_b 3.6587
_cell_length_c 10.2034
_cell_angle_alpha 90.00
_cell_angle_beta 90.00
_cell_angle_gamma 90.00
loop_
_atom_site_label
_atom_site_type_symbol
_atom_site_fract_x
_atom_site_fract_y
_atom_site_fract_z
_atom_site_occupancy
Zr1 Zr 0.0000 0.0000 0.0000 1
Zr2 Zr 0.5000 0.0000 0.2896 1
Cr1 Cr 0.5000 0.0000 0.5643 1
Si1 Si 0.0000 0.0000 0.7173 1
# Fermi-level density of states	4.618	states/eV per cell
# magnetic moment	3.43	Bohr magnetons per cell

=====

<four>
# Zr2CrSi PBE relaxed
data_Zr2CrSi
_chemical_formula_sum 'Zr4 Cr2 Si2'
_symmetry_space_group_name_H-M 'I 4/m m m'
_symmetry_Int_Tables_number 139
_symmetry_space_group_name_Hall '-I 4 2'
_cell_length_a 4.2209
_cell_length_b 4.2209
_cell_length_c 8.1160
_cell_angle_alpha 90.00
_cell_angle_beta 90.00
_cell_angle_gamma 90.00
loop_
_atom_site_label
_atom_site_type_symbol
_atom_site_fract_x
_atom_site_fract_y
_atom_site_fract_z
_atom_site_occupancy
Zr1 Zr 0.0000 0.5000 0.2500 1
Cr1 Cr 0.0000 0.0000 0.0000 1
Si1 Si 0.0000 0.0000 0.5000 1
# Fermi-level density of states	6.863	states/eV per cell
# magnetic moment	5.11	Bohr magnetons per cell

=====

The most stable arrangement is <three>, and the next structure is 143 meV per atom less stable.

=====

<one>
# Zr2CrSi PBE relaxed
data_Zr2CrSi
_chemical_formula_sum 'Zr8 Cr4 Si4'
_symmetry_space_group_name_H-M 'F m -3 m'
_symmetry_Int_Tables_number 225
_symmetry_space_group_name_Hall '-F 4 2 3'
_cell_length_a 6.5300
_cell_length_b 6.5300
_cell_length_c 6.5300
_cell_angle_alpha 90.00
_cell_angle_beta 90.00
_cell_angle_gamma 90.00
loop_
_atom_site_label
_atom_site_type_symbol
_atom_site_fract_x
_atom_site_fract_y
_atom_site_fract_z
_atom_site_occupancy
Zr1 Zr 0.2500 0.2500 0.2500 1
Cr1 Cr 0.0000 0.0000 0.0000 1
Si1 Si 0.0000 0.0000 0.5000 1
# Fermi-level density of states	5.700	states/eV per cell
# magnetic moment	0.00	Bohr magnetons per cell

=====

<two>
# Zr2CrSi PBE relaxed
data_Zr2CrSi
_chemical_formula_sum 'Zr8 Cr4 Si4'
_symmetry_space_group_name_H-M 'I -4 2 d'
_symmetry_Int_Tables_number 122
_symmetry_space_group_name_Hall 'I -4 2bw'
_cell_length_a 7.2613
_cell_length_b 7.2613
_cell_length_c 5.5756
_cell_angle_alpha 90.00
_cell_angle_beta 90.00
_cell_angle_gamma 90.00
loop_
_atom_site_label
_atom_site_type_symbol
_atom_site_fract_x
_atom_site_fract_y
_atom_site_fract_z
_atom_site_occupancy
Zr1 Zr 0.2338 0.7500 0.1250 1
Cr1 Cr 0.0000 0.0000 0.0000 1
Si1 Si 0.0000 0.0000 0.5000 1
# Fermi-level density of states	21.844	states/eV per cell
# magnetic moment	0.00	Bohr magnetons per cell

=====

<three>
# Zr2CrSi PBE relaxed
data_Zr2CrSi
_chemical_formula_sum 'Zr2 Cr1 Si1'
_symmetry_space_group_name_H-M 'P 4 m m'
_symmetry_Int_Tables_number 99
_symmetry_space_group_name_Hall 'P 4 -2'
_cell_length_a 3.2868
_cell_length_b 3.2868
_cell_length_c 6.5005
_cell_angle_alpha 90.00
_cell_angle_beta 90.00
_cell_angle_gamma 90.00
loop_
_atom_site_label
_atom_site_type_symbol
_atom_site_fract_x
_atom_site_fract_y
_atom_site_fract_z
_atom_site_occupancy
Zr1 Zr 0.0000 0.0000 0.0000 1
Zr2 Zr 0.5000 0.5000 0.3202 1
Cr1 Cr 0.0000 0.0000 0.5946 1
Si1 Si 0.5000 0.5000 0.7446 1
# Fermi-level density of states	4.551	states/eV per cell
# magnetic moment	0.00	Bohr magnetons per cell

=====

The most stable arrangement is <one>, and the next structure is 8 meV per atom less stable.

=====

<one>
# SrCr3Sn PBE relaxed
data_SrCr3Sn
_chemical_formula_sum 'Sr1 Cr3 Sn1'
_symmetry_space_group_name_H-M 'P m -3 m'
_symmetry_Int_Tables_number 221
_symmetry_space_group_name_Hall '-P 4 2 3'
_cell_length_a 5.4637
_cell_length_b 5.4637
_cell_length_c 5.4637
_cell_angle_alpha 90.00
_cell_angle_beta 90.00
_cell_angle_gamma 90.00
loop_
_atom_site_label
_atom_site_type_symbol
_atom_site_fract_x
_atom_site_fract_y
_atom_site_fract_z
_atom_site_occupancy
Sr1 Sr 0.0000 0.0000 0.0000 1
Cr1 Cr 0.0000 0.0000 0.5000 1
Sn1 Sn 0.5000 0.5000 0.5000 1
# Fermi-level density of states	5.002	states/eV per cell
# magnetic moment	14.16	Bohr magnetons per cell

=====

<two>
# SrCr3Sn PBE relaxed
data_SrCr3Sn
_chemical_formula_sum 'Sr1 Cr3 Sn1'
_symmetry_space_group_name_H-M 'P m -3 m'
_symmetry_Int_Tables_number 221
_symmetry_space_group_name_Hall '-P 4 2 3'
_cell_length_a 5.2959
_cell_length_b 5.2959
_cell_length_c 5.2959
_cell_angle_alpha 90.00
_cell_angle_beta 90.00
_cell_angle_gamma 90.00
loop_
_atom_site_label
_atom_site_type_symbol
_atom_site_fract_x
_atom_site_fract_y
_atom_site_fract_z
_atom_site_occupancy
Sr1 Sr 0.0000 0.0000 0.0000 1
Cr1 Cr 0.0000 0.5000 0.5000 1
Sn1 Sn 0.5000 0.5000 0.5000 1
# Fermi-level density of states	2.967	states/eV per cell
# magnetic moment	13.89	Bohr magnetons per cell

=====

The most stable arrangement is <two>, and the next structure is 1137 meV per atom less stable.

=====

<one>
# TaCrSn3 PBE relaxed
data_TaCrSn3
_chemical_formula_sum 'Ta1 Cr1 Sn3'
_symmetry_space_group_name_H-M 'P m -3 m'
_symmetry_Int_Tables_number 221
_symmetry_space_group_name_Hall '-P 4 2 3'
_cell_length_a 5.3376
_cell_length_b 5.3376
_cell_length_c 5.3376
_cell_angle_alpha 90.00
_cell_angle_beta 90.00
_cell_angle_gamma 90.00
loop_
_atom_site_label
_atom_site_type_symbol
_atom_site_fract_x
_atom_site_fract_y
_atom_site_fract_z
_atom_site_occupancy
Ta1 Ta 0.0000 0.0000 0.0000 1
Cr1 Cr 0.5000 0.5000 0.5000 1
Sn1 Sn 0.0000 0.0000 0.5000 1
# Fermi-level density of states	14.717	states/eV per cell
# magnetic moment	1.11	Bohr magnetons per cell

=====

<two>
# TaCrSn3 PBE relaxed
data_TaCrSn3
_chemical_formula_sum 'Ta1 Cr1 Sn3'
_symmetry_space_group_name_H-M 'P m -3 m'
_symmetry_Int_Tables_number 221
_symmetry_space_group_name_Hall '-P 4 2 3'
_cell_length_a 4.9906
_cell_length_b 4.9906
_cell_length_c 4.9906
_cell_angle_alpha 90.00
_cell_angle_beta 90.00
_cell_angle_gamma 90.00
loop_
_atom_site_label
_atom_site_type_symbol
_atom_site_fract_x
_atom_site_fract_y
_atom_site_fract_z
_atom_site_occupancy
Ta1 Ta 0.0000 0.0000 0.0000 1
Cr1 Cr 0.5000 0.5000 0.5000 1
Sn1 Sn 0.0000 0.5000 0.5000 1
# Fermi-level density of states	6.221	states/eV per cell
# magnetic moment	0.51	Bohr magnetons per cell

=====

The most stable arrangement is <two>, and the next structure is 283 meV per atom less stable.

=====

<one>
# Ta2Cr2Sn PBE relaxed
data_Ta2Cr2Sn
_chemical_formula_sum 'Ta4 Cr4 Sn2'
_symmetry_space_group_name_H-M 'I 4/m m m'
_symmetry_Int_Tables_number 139
_symmetry_space_group_name_Hall '-I 4 2'
_cell_length_a 3.1959
_cell_length_b 3.1959
_cell_length_c 16.9458
_cell_angle_alpha 90.00
_cell_angle_beta 90.00
_cell_angle_gamma 90.00
loop_
_atom_site_label
_atom_site_type_symbol
_atom_site_fract_x
_atom_site_fract_y
_atom_site_fract_z
_atom_site_occupancy
Ta1 Ta 0.0000 0.0000 0.1186 1
Cr1 Cr 0.0000 0.5000 0.2500 1
Sn1 Sn 0.0000 0.0000 0.5000 1
# Fermi-level density of states	14.943	states/eV per cell
# magnetic moment	0.00	Bohr magnetons per cell

=====

<two>
# Ta2Cr2Sn PBE relaxed
data_Ta2Cr2Sn
_chemical_formula_sum 'Ta4 Cr4 Sn2'
_symmetry_space_group_name_H-M 'P 4/m b m'
_symmetry_Int_Tables_number 127
_symmetry_space_group_name_Hall '-P 4 2ab'
_cell_length_a 7.6676
_cell_length_b 7.6676
_cell_length_c 3.0152
_cell_angle_alpha 90.00
_cell_angle_beta 90.00
_cell_angle_gamma 90.00
loop_
_atom_site_label
_atom_site_type_symbol
_atom_site_fract_x
_atom_site_fract_y
_atom_site_fract_z
_atom_site_occupancy
Ta1 Ta 0.1194 0.3806 0.0000 1
Cr1 Cr 0.1814 0.6814 0.5000 1
Sn1 Sn 0.0000 0.0000 0.0000 1
# Fermi-level density of states	10.953	states/eV per cell
# magnetic moment	7.42	Bohr magnetons per cell

=====

The most stable arrangement is <one>, and the next structure is 37 meV per atom less stable.

=====

<one>
# Cr3TcSn PBE relaxed
data_Cr3TcSn
_chemical_formula_sum 'Cr3 Tc1 Sn1'
_symmetry_space_group_name_H-M 'P m -3 m'
_symmetry_Int_Tables_number 221
_symmetry_space_group_name_Hall '-P 4 2 3'
_cell_length_a 4.6676
_cell_length_b 4.6676
_cell_length_c 4.6676
_cell_angle_alpha 90.00
_cell_angle_beta 90.00
_cell_angle_gamma 90.00
loop_
_atom_site_label
_atom_site_type_symbol
_atom_site_fract_x
_atom_site_fract_y
_atom_site_fract_z
_atom_site_occupancy
Cr1 Cr 0.0000 0.0000 0.5000 1
Tc1 Tc 0.0000 0.0000 0.0000 1
Sn1 Sn 0.5000 0.5000 0.5000 1
# Fermi-level density of states	3.761	states/eV per cell
# magnetic moment	8.45	Bohr magnetons per cell

=====

<two>
# Cr3TcSn PBE relaxed
data_Cr3TcSn
_chemical_formula_sum 'Cr3 Tc1 Sn1'
_symmetry_space_group_name_H-M 'P m -3 m'
_symmetry_Int_Tables_number 221
_symmetry_space_group_name_Hall '-P 4 2 3'
_cell_length_a 4.5714
_cell_length_b 4.5714
_cell_length_c 4.5714
_cell_angle_alpha 90.00
_cell_angle_beta 90.00
_cell_angle_gamma 90.00
loop_
_atom_site_label
_atom_site_type_symbol
_atom_site_fract_x
_atom_site_fract_y
_atom_site_fract_z
_atom_site_occupancy
Cr1 Cr 0.0000 0.0000 0.5000 1
Tc1 Tc 0.5000 0.5000 0.5000 1
Sn1 Sn 0.0000 0.0000 0.0000 1
# Fermi-level density of states	11.935	states/eV per cell
# magnetic moment	0.01	Bohr magnetons per cell

=====

The most stable arrangement is <one>, and the next structure is 1365 meV per atom less stable.

=====

<one>
# TiCrSn2 PBE relaxed
data_TiCrSn2
_chemical_formula_sum 'Ti4 Cr4 Sn8'
_symmetry_space_group_name_H-M 'I -4 2 d'
_symmetry_Int_Tables_number 122
_symmetry_space_group_name_Hall 'I -4 2bw'
_cell_length_a 6.2655
_cell_length_b 6.2655
_cell_length_c 12.5596
_cell_angle_alpha 90.00
_cell_angle_beta 90.00
_cell_angle_gamma 90.00
loop_
_atom_site_label
_atom_site_type_symbol
_atom_site_fract_x
_atom_site_fract_y
_atom_site_fract_z
_atom_site_occupancy
Ti1 Ti 0.0000 0.0000 0.0000 1
Cr1 Cr 0.0000 0.0000 0.5000 1
Sn1 Sn 0.2381 0.2500 0.6250 1
# Fermi-level density of states	10.638	states/eV per cell
# magnetic moment	8.00	Bohr magnetons per cell

=====

<two>
# TiCrSn2 PBE relaxed
data_TiCrSn2
_chemical_formula_sum 'Ti4 Cr4 Sn8'
_symmetry_space_group_name_H-M 'F m -3 m'
_symmetry_Int_Tables_number 225
_symmetry_space_group_name_Hall '-F 4 2 3'
_cell_length_a 6.5988
_cell_length_b 6.5988
_cell_length_c 6.5988
_cell_angle_alpha 90.00
_cell_angle_beta 90.00
_cell_angle_gamma 90.00
loop_
_atom_site_label
_atom_site_type_symbol
_atom_site_fract_x
_atom_site_fract_y
_atom_site_fract_z
_atom_site_occupancy
Ti1 Ti 0.0000 0.0000 0.0000 1
Cr1 Cr 0.0000 0.0000 0.5000 1
Sn1 Sn 0.2500 0.2500 0.2500 1
# Fermi-level density of states	12.951	states/eV per cell
# magnetic moment	0.00	Bohr magnetons per cell

=====

The most stable arrangement is <two>, and the next structure is 726 meV per atom less stable.

=====

<one>
# TiCr3Sn PBE relaxed
data_TiCr3Sn
_chemical_formula_sum 'Ti1 Cr3 Sn1'
_symmetry_space_group_name_H-M 'P m -3 m'
_symmetry_Int_Tables_number 221
_symmetry_space_group_name_Hall '-P 4 2 3'
_cell_length_a 4.3482
_cell_length_b 4.3482
_cell_length_c 4.3482
_cell_angle_alpha 90.00
_cell_angle_beta 90.00
_cell_angle_gamma 90.00
loop_
_atom_site_label
_atom_site_type_symbol
_atom_site_fract_x
_atom_site_fract_y
_atom_site_fract_z
_atom_site_occupancy
Ti1 Ti 0.0000 0.0000 0.0000 1
Cr1 Cr 0.0000 0.0000 0.5000 1
Sn1 Sn 0.5000 0.5000 0.5000 1
# Fermi-level density of states	10.366	states/eV per cell
# magnetic moment	0.00	Bohr magnetons per cell

=====

<two>
# TiCr3Sn PBE relaxed
data_TiCr3Sn
_chemical_formula_sum 'Ti1 Cr3 Sn1'
_symmetry_space_group_name_H-M 'P m -3 m'
_symmetry_Int_Tables_number 221
_symmetry_space_group_name_Hall '-P 4 2 3'
_cell_length_a 4.9761
_cell_length_b 4.9761
_cell_length_c 4.9761
_cell_angle_alpha 90.00
_cell_angle_beta 90.00
_cell_angle_gamma 90.00
loop_
_atom_site_label
_atom_site_type_symbol
_atom_site_fract_x
_atom_site_fract_y
_atom_site_fract_z
_atom_site_occupancy
Ti1 Ti 0.0000 0.0000 0.0000 1
Cr1 Cr 0.0000 0.5000 0.5000 1
Sn1 Sn 0.5000 0.5000 0.5000 1
# Fermi-level density of states	8.533	states/eV per cell
# magnetic moment	9.46	Bohr magnetons per cell

=====

The most stable arrangement is <one>, and the next structure is 288 meV per atom less stable.